Computed, not measured: Ce4Ag2C after structural relaxation at the PBE level of DFT.

Cell lengths 4.961, 4.961, 14.942 Å; angles 90.00, 90.00, 90.00 degrees
Positions (direct):
Ce  0.000  0.000  0.167
Ce  0.000  0.000  0.833
Ce  0.000  0.500  0.000
Ce  0.000  0.500  0.500
Ce  0.500  0.000  0.000
Ce  0.500  0.000  0.500
Ce  0.500  0.500  0.333
Ce  0.500  0.500  0.667
Ag  0.000  0.000  0.366
Ag  0.000  0.000  0.634
Ag  0.500  0.500  0.134
Ag  0.500  0.500  0.866
C  0.000  0.000  0.000
C  0.500  0.500  0.500

## Properties
Its density of states at the Fermi level is 43.1 states/eV/cell. The value obtained for the total magnetization is 6.1 μB per cell. The raw total energy is -77.5 eV per cell. As for the energy of formation from the pure elements: -16 meV per atom.